[1]
# Sm5DyY (PBE, optimized geometry)
# Polymorph energy (0 for the lowest one): 0 meV/atom
data_Sm5DyY
_chemical_formula_sum 'Sm20 Dy4 Y4'
_cell_length_a 16.5178
_cell_length_b 6.6319
_cell_length_c 10.7788
_cell_angle_alpha 90.00
_cell_angle_beta 126.32
_cell_angle_gamma 90.00
_space_group_name_H-M_alt 'C 1 2/c 1'
_space_group_IT_number 15
loop_
_space_group_symop_operation_xyz
'x,y,z'
'-x,-y,-z'
'-x,y,-z+1/2'
'x,-y,z+1/2'
'x+1/2,y+1/2,z'
'-x+1/2,-y+1/2,-z'
'-x+1/2,y+1/2,-z+1/2'
'x+1/2,-y+1/2,z+1/2'
loop_
_atom_site_label
_atom_site_fract_x
_atom_site_fract_y
_atom_site_fract_z
Sm1 0.0000 0.0124 0.2500
Sm2 0.0925 0.2475 0.5975
Sm3 0.1696 0.2523 0.0869
Dy1 0.2500 0.2500 0.5000
Y1 0.0000 0.4860 0.2500



[2]
# FeRe2Pt (PBE, optimized geometry)
# Polymorph energy (0 for the lowest one): 130 meV/atom
data_FeRe2Pt
_chemical_formula_sum 'Fe1 Re2 Pt1'
_cell_length_a 3.2062
_cell_length_b 3.2062
_cell_length_c 5.6497
_cell_angle_alpha 90.00
_cell_angle_beta 90.00
_cell_angle_gamma 90.00
_space_group_name_H-M_alt 'P 4 m m'
_space_group_IT_number 99
loop_
_space_group_symop_operation_xyz
'x,y,z'
'-y,x,z'
'-x,-y,z'
'y,-x,z'
'-x,y,z'
'y,x,z'
'x,-y,z'
'-y,-x,z'
loop_
_atom_site_label
_atom_site_fract_x
_atom_site_fract_y
_atom_site_fract_z
Fe1 0.0000 0.0000 0.0000
Re1 0.0000 0.0000 0.5073
Re2 0.5000 0.5000 0.7526
Pt1 0.5000 0.5000 0.2255



[3]
The following is a PBE calculation of crystalline LiLaY2C at its relaxed geometry, from Alexandria via LeMat-Bulk.

```
data_LiLaY2C
_chemical_formula_sum 'Li1 La1 Y2 C1'
_cell_length_a 4.9239
_cell_length_b 4.9239
_cell_length_c 5.4418
_cell_angle_alpha 90.00
_cell_angle_beta 90.00
_cell_angle_gamma 90.00
_space_group_name_H-M_alt 'P 4/m m m'
_space_group_IT_number 123
_space_group_name_Hall '-P 4 2'
loop_
_atom_site_label
_atom_site_fract_x
_atom_site_fract_y
_atom_site_fract_z
Li1 0.0000 0.0000 0.0000
La1 0.5000 0.5000 0.0000
Y1 0.0000 0.5000 0.5000
C1 0.5000 0.5000 0.5000
```



no.,DFT formation energy (eV per atom),raw total energy (eV per atom)
1,0.16,-4.79
2,0.11,-9.74
3,-0.03,-5.83